DFT (PBE) results for Hf2Zr4Ge3N3 after structural relaxation.

Unit cell a=5.6659 b=5.6659 c=14.0032 alpha=101.69 beta=101.69 gamma=60.02
Fractional positions:
Hf 0.0304 0.8598 0.5897
Hf 0.1402 0.9696 0.9103
Hf 0.8598 0.0304 0.0897
Hf 0.9696 0.1402 0.4103
Zr 0.1980 0.3674 0.0948
Zr 0.3042 0.4652 0.4051
Zr 0.3674 0.1980 0.5948
Zr 0.4652 0.3042 0.9051
Zr 0.5348 0.6958 0.0949
Zr 0.6326 0.8020 0.4052
Zr 0.6958 0.5348 0.5949
Zr 0.8020 0.6326 0.9052
Ge 0.0795 0.2356 0.7494
Ge 0.2356 0.0795 0.2494
Ge 0.4073 0.5927 0.7500
Ge 0.5927 0.4073 0.2500
Ge 0.7644 0.9205 0.7506
Ge 0.9205 0.7644 0.2506
N 0.0000 0.5000 0.5000
N 0.1622 0.6764 0.0002
N 0.3236 0.8378 0.4998
N 0.5000 0.0000 0.0000
N 0.6764 0.1622 0.5002
N 0.8378 0.3236 0.9998

## Properties
- E: -8.8985 eV per atom

DFT (PBE) results for YTm2As5 after structural relaxation.

Unit cell a=3.9468 b=3.9468 c=13.4566 alpha=90.00 beta=90.00 gamma=90.00
Fractional positions:
Y 0.0000 0.0000 0.0000
Tm 0.5000 0.5000 0.3676
Tm 0.5000 0.5000 0.6324
As 0.0000 0.5000 0.2113
As 0.0000 0.5000 0.7887
As 0.5000 0.0000 0.2113
As 0.5000 0.0000 0.7887
As 0.5000 0.5000 0.0000

## Properties
- E: -5.1512 eV per atom

DFT (PBE) results for SmGdAl4Ni2 after structural relaxation.

Unit cell a=6.9101 b=5.6452 c=5.6452 alpha=42.10 beta=90.00 gamma=90.00
Fractional positions:
Sm 0.0000 0.0000 0.0000
Gd 0.5000 0.8863 0.8863
Al 0.1954 0.2800 0.2800
Al 0.3066 0.6071 0.6071
Al 0.6934 0.6071 0.6071
Al 0.8046 0.2800 0.2800
Ni 0.0000 0.7249 0.7249
Ni 0.5000 0.1603 0.1603

## Properties
- E: -5.0554 eV per atom

DFT (PBE) results for MoAs2W after structural relaxation.

Unit cell a=4.5126 b=4.5126 c=4.5126 alpha=60.00 beta=60.00 gamma=60.00
Fractional positions:
Mo 0.0000 0.0000 0.0000
As 0.2500 0.2500 0.2500
As 0.5000 0.5000 0.5000
W 0.7500 0.7500 0.7500

## Properties
- E: -7.7713 eV per atom

| no. | calculated density (g/cm³) |
| --- | --- |
| 1 | 8.6 |
| 2 | 6.3 |
| 3 | 6.0 |
| 4 | 11.0 |